(1)
Compound: Ho3Mg2Zr
Source: the Alexandria database
Functional: GGA-PBE
Structure: optimized geometry

Cell and atoms, written as POSCAR:
```
Ho3Mg2Zr
1.0
3.4440 0.0000 0.0000
0.0000 3.4440 0.0000
0.0000 0.0000 13.6969
Ho Mg Zr
3 2 1
Direct
0.0000 0.0000 0.0000
0.0000 0.0000 0.3361
0.0000 0.0000 0.6639
0.5000 0.5000 0.1643
0.5000 0.5000 0.8357
0.5000 0.5000 0.5000
```

Properties
Energy: -4.2663 eV per atom
Formation energy from the elements: -12 kJ/mol of formula units
DOS(E_F): 1.259 states/eV per atom



(2)
Compound: AuC2
Source: the Alexandria database
Functional: GGA-PBE
Structure: optimized geometry

Cell and atoms, written as POSCAR:
```
AuC2
1.0
3.3582 0.0000 0.0000
0.0000 3.3582 0.0000
0.0000 0.0000 3.9191
Au C
1 2
Direct
0.0000 0.0000 0.0000
0.0000 0.0000 0.5000
0.5000 0.5000 0.0000
```

Properties
Polymorph energy (0 for the lowest one): 2940 meV per atom
Energy: -4.0358 eV per atom
Formation energy from the elements: 928 kJ/mol of formula units
DOS(E_F): 0.543 states/eV per atom



(3)
Compound: ThMgMn
Source: the Alexandria database
Functional: GGA-PBE
Structure: optimized geometry

Cell and atoms, written as POSCAR:
```
ThMgMn
1.0
1.9573 -8.9043 0.0000
1.9573 8.9043 0.0000
0.0000 0.0000 3.9254
Th Mg Mn
2 2 2
Direct
0.0891 0.9109 0.7500
0.9109 0.0891 0.2500
0.2941 0.7059 0.7500
0.7059 0.2941 0.2500
0.4599 0.5401 0.7500
0.5401 0.4599 0.2500
```

Properties
Energy: -6.0174 eV per atom
Formation energy from the elements: 13 kJ/mol of formula units
DOS(E_F): 0.736 states/eV per atom



(4)
Compound: NdMg2ZnAu2
Source: the Alexandria database
Functional: GGA-PBE
Structure: optimized geometry

Cell and atoms, written as POSCAR:
```
NdMg2ZnAu2
1.0
-2.1703 2.1703 8.0843
2.1703 -2.1703 8.0843
2.1703 2.1703 -8.0843
Nd Mg Zn Au
1 2 1 2
Direct
0.0000 0.0000 0.0000
0.2500 0.7500 0.5000
0.7500 0.2500 0.5000
0.5000 0.5000 0.0000
0.3488 0.3488 0.0000
0.6512 0.6512 0.0000
```

Properties
Energy: -2.8517 eV per atom
Formation energy from the elements: -128 kJ/mol of formula units
DOS(E_F): 0.875 states/eV per atom



(5)
Compound: ScTeMo
Source: the Alexandria database
Functional: GGA-PBE
Structure: optimized geometry

Cell and atoms, written as POSCAR:
```
ScTeMo
1.0
4.6236 0.0000 0.0000
-2.3118 4.0041 0.0000
0.0000 0.0000 3.3216
Sc Te Mo
1 1 1
Direct
0.0000 0.0000 0.0000
0.6667 0.3333 0.5000
0.3333 0.6667 0.5000
```

Properties
Polymorph energy (0 for the lowest one): 408 meV per atom
Energy: -6.7953 eV per atom
DOS(E_F): 0.915 states/eV per atom
ΔE_f (raw): -27 meV/atom



(6)
Compound: KLiRe2
Source: the Alexandria database
Functional: GGA-PBE
Structure: optimized geometry

Cell and atoms, written as POSCAR:
```
KLiRe2
1.0
0.0000 3.2201 3.2201
3.2201 0.0000 3.2201
3.2201 3.2201 0.0000
K Li Re
1 1 2
Direct
0.0000 0.0000 0.0000
0.5000 0.5000 0.5000
0.2500 0.2500 0.2500
0.7500 0.7500 0.7500
```

Properties
Polymorph energy (0 for the lowest one): 1783 meV per atom
Energy: -4.5771 eV per atom
Formation energy from the elements: 926 kJ/mol of formula units
DOS(E_F): 1.291 states/eV per atom



(7)
Compound: Rb2Sn3Se8
Source: the Alexandria database
Functional: GGA-PBE
Structure: optimized geometry

Cell and atoms, written as POSCAR:
```
Rb2Sn3Se8
1.0
8.8986 -3.8070 0.0000
8.8986 3.8070 0.0000
-2.1815 0.0000 6.7385
Rb Sn Se
2 3 8
Direct
0.2358 0.2358 0.1994
0.7642 0.7642 0.8006
0.2472 0.7528 0.5000
0.5000 0.5000 0.0000
0.7528 0.2472 0.5000
0.0959 0.0959 0.4407
0.1848 0.6210 0.1156
0.3790 0.8152 0.8844
0.4078 0.4078 0.6064
0.5922 0.5922 0.3936
0.6210 0.1848 0.1156
0.8152 0.3790 0.8844
0.9041 0.9041 0.5593
```

Properties
Energy: -3.6637 eV per atom
DOS(E_F): 0.377 states/eV per atom
ΔE_f (raw): -447 meV/atom



(8)
Compound: MgCr2PN
Source: the Alexandria database
Functional: GGA-PBE
Structure: optimized geometry

Cell and atoms, written as POSCAR:
```
MgCr2PN
1.0
3.9372 0.0000 0.0000
0.0000 3.9372 0.0000
0.0000 0.0000 4.1473
Mg Cr P N
1 2 1 1
Direct
0.0000 0.0000 0.0000
0.0000 0.5000 0.5000
0.5000 0.0000 0.5000
0.5000 0.5000 0.0000
0.0000 0.0000 0.5000
```

Properties
Energy: -7.0685 eV per atom
DOS(E_F): 0.671 states/eV per atom
ΔE_f (raw): -153 meV/atom



(9)
Compound: LaAl3Co
Source: the Alexandria database
Functional: GGA-PBE
Structure: optimized geometry

Cell and atoms, written as POSCAR:
```
LaAl3Co
1.0
4.5886 0.0000 0.0000
0.0000 4.5886 0.0000
0.0000 0.0000 4.5886
La Al Co
1 3 1
Direct
0.0000 0.0000 0.0000
0.0000 0.5000 0.5000
0.5000 0.0000 0.5000
0.5000 0.5000 0.0000
0.5000 0.5000 0.5000
```

Properties
Polymorph energy (0 for the lowest one): 68 meV per atom
Energy: -5.0851 eV per atom
Formation energy from the elements: -209 kJ/mol of formula units
DOS(E_F): 1.536 states/eV per atom



(10)
Compound: ZnInAs2
Source: the Alexandria database
Functional: GGA-PBE
Structure: optimized geometry

Cell and atoms, written as POSCAR:
```
ZnInAs2
1.0
2.8772 -3.7708 0.0000
2.8772 3.7708 0.0000
0.0000 0.0000 3.7937
Zn In As
1 1 2
Direct
0.0000 0.0000 0.0000
0.5000 0.5000 0.0000
0.0000 0.5000 0.5000
0.5000 0.0000 0.5000
```

Properties
Energy: -3.0963 eV per atom
Formation energy from the elements: 89 kJ/mol of formula units
DOS(E_F): 0.429 states/eV per atom



(11)
Compound: TcSe
Source: the Alexandria database
Functional: GGA-PBE
Structure: optimized geometry

Cell and atoms, written as POSCAR:
```
TcSe
1.0
0.0000 3.1945 3.1945
3.1945 0.0000 3.1945
3.1945 3.1945 0.0000
Tc Se
2 2
Direct
0.1250 0.1250 0.1250
0.8750 0.8750 0.8750
0.3750 0.3750 0.3750
0.6250 0.6250 0.6250
```

Properties
Polymorph energy (0 for the lowest one): 942 meV per atom
Energy: -6.1896 eV per atom
DOS(E_F): 1.129 states/eV per atom
ΔE_f (raw): 736 meV/atom



(12)
Compound: LaTbSn2
Source: the Alexandria database
Functional: GGA-PBE
Structure: optimized geometry

Cell and atoms, written as POSCAR:
```
LaTbSn2
1.0
5.0070 0.0000 0.0000
0.0000 5.0070 0.0000
0.0000 0.0000 4.5414
La Tb Sn
1 1 2
Direct
0.0000 0.0000 0.0000
0.5000 0.5000 0.0000
0.0000 0.5000 0.5000
0.5000 0.0000 0.5000
```

Properties
Energy: -5.0604 eV per atom
Formation energy from the elements: -258 kJ/mol of formula units
DOS(E_F): 1.039 states/eV per atom



(13)
Compound: Ho3Tm4Zr
Source: the Alexandria database
Functional: GGA-PBE
Structure: optimized geometry

Cell and atoms, written as POSCAR:
```
Ho3Tm4Zr
1.0
10.9739 0.0000 0.0000
0.0000 7.0785 0.0000
0.0000 0.0000 6.1067
Ho Tm Zr
6 8 2
Direct
0.0000 0.1183 0.0000
0.2479 0.1217 0.3304
0.2521 0.8783 0.8304
0.5000 0.8817 0.5000
0.7479 0.8783 0.8304
0.7521 0.1217 0.3304
0.0000 0.3745 0.5015
0.0000 0.6316 0.0002
0.2443 0.6284 0.3404
0.2557 0.3716 0.8404
0.5000 0.3684 0.5002
0.5000 0.6255 0.0015
0.7443 0.3716 0.8404
0.7557 0.6284 0.3404
0.0000 0.8740 0.5049
0.5000 0.1260 0.0049
```

Properties
Polymorph energy (0 for the lowest one): 0 meV per atom
Energy: -4.9905 eV per atom
Formation energy from the elements: 23 kJ/mol of formula units
DOS(E_F): 1.709 states/eV per atom



(14)
Compound: CoSi3As
Source: the Alexandria database
Functional: GGA-PBE
Structure: optimized geometry

Cell and atoms, written as POSCAR:
```
CoSi3As
1.0
4.3689 0.0000 0.0000
0.0000 4.3689 0.0000
0.0000 0.0000 4.3689
Co Si As
1 3 1
Direct
0.0000 0.0000 0.0000
0.0000 0.0000 0.5000
0.0000 0.5000 0.0000
0.5000 0.0000 0.0000
0.5000 0.5000 0.5000
```

Properties
Polymorph energy (0 for the lowest one): 0 meV per atom
Energy: -5.3358 eV per atom
DOS(E_F): 0.200 states/eV per atom
ΔE_f (raw): 269 meV/atom



(15)
Compound: BaFe3S
Source: the Alexandria database
Functional: GGA-PBE
Structure: optimized geometry

Cell and atoms, written as POSCAR:
```
BaFe3S
1.0
4.4712 0.0000 0.0000
0.0000 4.4712 0.0000
0.0000 0.0000 4.4712
Ba Fe S
1 3 1
Direct
0.0000 0.0000 0.0000
0.0000 0.5000 0.5000
0.5000 0.0000 0.5000
0.5000 0.5000 0.0000
0.5000 0.5000 0.5000
```

Properties
Polymorph energy (0 for the lowest one): 0 meV per atom
Energy: -5.9474 eV per atom
DOS(E_F): 0.806 states/eV per atom
ΔE_f (raw): 340 meV/atom



(16)
Compound: LiMnAsRh
Source: the Alexandria database
Functional: GGA-PBE
Structure: optimized geometry

Cell and atoms, written as POSCAR:
```
LiMnAsRh
1.0
0.0000 3.0312 3.0312
3.0312 0.0000 3.0312
3.0312 3.0312 0.0000
Li Mn As Rh
1 1 1 1
Direct
0.0000 0.0000 0.0000
0.7500 0.7500 0.7500
0.2500 0.2500 0.2500
0.5000 0.5000 0.5000
```

Properties
Energy: -6.1277 eV per atom
Formation energy from the elements: -138 kJ/mol of formula units
DOS(E_F): 0.306 states/eV per atom



(17)
Compound: TbCuAu
Source: the Alexandria database
Functional: GGA-PBE
Structure: optimized geometry

Cell and atoms, written as POSCAR:
```
TbCuAu
1.0
4.5143 0.0000 0.0000
-2.2571 3.9095 0.0000
0.0000 0.0000 3.4557
Tb Cu Au
1 1 1
Direct
0.0000 0.0000 0.0000
0.3333 0.6667 0.5000
0.6667 0.3333 0.5000
```

Properties
Polymorph energy (0 for the lowest one): 0 meV per atom
Energy: -4.5626 eV per atom
Formation energy from the elements: -162 kJ/mol of formula units
DOS(E_F): 0.600 states/eV per atom



(18)
Compound: Ta2TcB2
Source: the Alexandria database
Functional: GGA-PBE
Structure: optimized geometry

Cell and atoms, written as POSCAR:
```
Ta2TcB2
1.0
6.0330 0.0000 0.0000
0.0000 6.0330 0.0000
0.0000 0.0000 3.3018
Ta Tc B
4 2 4
Direct
0.1754 0.3246 0.0000
0.3246 0.8246 0.0000
0.6754 0.1754 0.0000
0.8246 0.6754 0.0000
0.0000 0.0000 0.5000
0.5000 0.5000 0.5000
0.1113 0.6113 0.5000
0.3887 0.1113 0.5000
0.6113 0.8887 0.5000
0.8887 0.3887 0.5000
```

Properties
Energy: -10.2079 eV per atom
Formation energy from the elements: -349 kJ/mol of formula units
DOS(E_F): 0.425 states/eV per atom



(19)
Compound: Dy6HgS4
Source: the Alexandria database
Functional: GGA-PBE
Structure: optimized geometry

Cell and atoms, written as POSCAR:
```
Dy6HgS4
1.0
1.9685 -6.4984 0.0000
1.9685 6.4984 0.0000
0.0000 0.0000 20.0782
Dy Hg S
12 2 8
Direct
0.0000 0.0000 0.0000
0.0000 0.0000 0.5000
0.1623 0.8377 0.7500
0.2713 0.7287 0.0838
0.2713 0.7287 0.4162
0.4600 0.5400 0.6597
0.4600 0.5400 0.8403
0.5400 0.4600 0.1597
0.5400 0.4600 0.3403
0.7287 0.2713 0.5838
0.7287 0.2713 0.9162
0.8377 0.1623 0.2500
0.1591 0.8409 0.2500
0.8409 0.1591 0.7500
0.0941 0.9059 0.6219
0.0941 0.9059 0.8781
0.3628 0.6372 0.5396
0.3628 0.6372 0.9604
0.6372 0.3628 0.0396
0.6372 0.3628 0.4604
0.9059 0.0941 0.1219
0.9059 0.0941 0.3781
```

Properties
Energy: -5.6125 eV per atom
DOS(E_F): 0.452 states/eV per atom
ΔE_f (raw): -1574 meV/atom



(20)
Compound: CaDyEr14
Source: the Alexandria database
Functional: GGA-PBE
Structure: optimized geometry

Cell and atoms, written as POSCAR:
```
CaDyEr14
1.0
11.1783 0.0000 0.0000
0.0000 3.5970 6.2324
0.0000 -3.5970 6.2324
Ca Dy Er
1 1 14
Direct
0.0000 0.0000 0.0000
0.0000 0.4996 0.4996
0.0000 0.0007 0.4994
0.0000 0.4994 0.0007
0.2474 0.3333 0.3333
0.2544 0.8312 0.8312
0.2547 0.3374 0.8314
0.2547 0.8314 0.3374
0.5000 0.0000 0.0000
0.5000 0.9999 0.5000
0.5000 0.5000 0.9999
0.5000 0.5001 0.5001
0.7453 0.3374 0.8314
0.7453 0.8314 0.3374
0.7456 0.8312 0.8312
0.7526 0.3333 0.3333
```

Properties
Energy: -4.3813 eV per atom
Formation energy from the elements: 37 kJ/mol of formula units
DOS(E_F): 1.667 states/eV per atom